# 1
Ga2PAu2 after structural relaxation. Source: Alexandria, functional PBE.

## Properties
Total magnetization in μB per formula unit: 0.00
Space group: No. 127
Formation energy from the elements in meV per atom: 197.5
DOS(E_F) in states/eV/cell: 4.89
Offset from the most stable computed form in meV per atom: 59

Cell lengths 7.6318, 7.6318, 3.1765 Å; angles 90.00, 90.00, 90.00 degrees
With the nearest neighbours (Å) after each atom.
Sites, in units of the cell vectors:
Ga 0.1778 0.3222 0.0000  6 Au 2.64-2.84, 2 P 2.81
Ga 0.3222 0.8222 0.0000  6 Au 2.64-2.84, 2 P 2.81
Ga 0.6778 0.1778 0.0000  6 Au 2.64-2.84, 2 P 2.81
Ga 0.8222 0.6778 0.0000  6 Au 2.64-2.84, 2 P 2.81
P 0.0000 0.0000 0.0000  4 Ga 2.81
P 0.5000 0.5000 0.0000  4 Ga 2.81
Au 0.1272 0.6272 0.5000  6 Ga 2.64-2.84, 1 Au 2.75
Au 0.3728 0.1272 0.5000  6 Ga 2.64-2.84, 1 Au 2.75
Au 0.6272 0.8728 0.5000  6 Ga 2.64-2.84, 1 Au 2.75
Au 0.8728 0.3728 0.5000  6 Ga 2.64-2.84, 1 Au 2.75

***

# 2
MnV4Ir2 after structural relaxation. Source: Alexandria, functional PBE.

## Properties
Total magnetization in μB per formula unit: 0.01
Space group: No. 139
Formation energy from the elements in meV per atom: 502.6
DOS(E_F) in states/eV/cell: 10.87

Cell lengths 6.9080, 6.9080, 6.9080 Å; angles 144.72, 144.72, 50.75 degrees
With the nearest neighbours (Å) after each atom.
Sites, in units of the cell vectors:
Mn 0.0000 0.0000 0.0000  6 V 2.09-2.29
V 0.0000 0.5000 0.5000  2 Mn 2.09
V 0.1835 0.1835 0.0000  1 Mn 2.29, 1 Ir 2.36
V 0.5000 0.0000 0.5000  2 Mn 2.09
V 0.8165 0.8165 0.0000  1 Mn 2.29, 1 Ir 2.36
Ir 0.3723 0.3723 0.0000  5 V 2.36-2.63
Ir 0.6277 0.6277 0.0000  5 V 2.36-2.63

***

# 3
BPd4Se after structural relaxation. Source: Alexandria, functional PBE.

## Properties
E_form (uncorrected) in meV/atom: -190
Total magnetization in μB per formula unit: 0.00
Space group: No. 15
DOS(E_F) in states/eV/cell: 5.99

Cell lengths 6.8852, 6.8852, 5.1547 Å; angles 107.38, 107.38, 112.56 degrees
With the nearest neighbours (Å) after each atom.
Sites, in units of the cell vectors:
B 0.0797 0.9203 0.7500  6 Pd 2.07-2.15
B 0.9203 0.0797 0.2500  6 Pd 2.07-2.15
Pd 0.0421 0.6265 0.8115  1 B 2.07
Pd 0.1388 0.2438 0.7281  2 B 2.10-2.15
Pd 0.2438 0.1388 0.2281  2 B 2.10-2.15
Pd 0.3735 0.9579 0.6885  1 B 2.07
Pd 0.6265 0.0421 0.3115  1 B 2.07
Pd 0.7562 0.8612 0.7719  2 B 2.10-2.15
Pd 0.8612 0.7562 0.2719  2 B 2.10-2.15
Pd 0.9579 0.3735 0.1885  1 B 2.07
Se 0.3722 0.6278 0.2500  6 Pd 2.57-2.68
Se 0.6278 0.3722 0.7500  6 Pd 2.57-2.68